Ac2HfMoO6 | PBE+U | relaxed

DFT total energy: -166.30 eV per cell

Lattice parameters (Å, degrees): 5.891 5.891 8.368 90.00 90.00 90.00
Space group I4/mmm (No. 139)
One atom of each set of equivalent atoms:
Ac 0.000 0.500 0.250 x4
Hf 0.000 0.000 0.000 x2
Mo 0.000 0.000 0.500 x2
O 0.000 0.000 0.247 x4
O 0.247 0.247 0.000 x8